1.
Computed, not measured: a relaxed AcCe2Ru crystal at the PBE-GGA level of DFT.

Cell lengths 3.8717, 3.8717, 31.0362 Å; angles 90.00, 90.00, 120.00 degrees
Space group R-3m (No. 166, hexagonal axes)
One atom of each set of equivalent atoms:
Ac  0.0000  0.0000  0.0000
Ce  0.0000  0.0000  0.1154
Ru  0.0000  0.0000  0.5000

## Properties
Distance to the lowest polymorph of the same formula   241 meV per atom


2.
Computed, not measured: a relaxed SnPb2O crystal at the PBE-GGA level of DFT.

Cell lengths 7.2210, 7.2210, 7.2210 Å; angles 90.00, 90.00, 90.00 degrees
Space group Fm-3m (No. 225)
One atom of each set of equivalent atoms:
Sn  0.0000  0.0000  0.0000
Pb  0.2500  0.2500  0.2500
O  0.0000  0.0000  0.5000

## Properties
Energy relative to the elements, uncorrected   0.48 eV/f.u.
Distance to the lowest polymorph of the same formula   317 meV per atom


3.
Computed, not measured: a relaxed Pr2Cu3NiGe4 crystal at the PBE-GGA level of DFT.

Cell lengths 4.2046, 4.2046, 10.0891 Å; angles 90.00, 90.00, 90.00 degrees
Space group P-4m2 (No. 115)
One atom of each set of equivalent atoms:
Pr  0.0000  0.5000  0.2438
Cu  0.0000  0.0000  0.0000
Cu  0.0000  0.5000  0.6331
Ni  0.5000  0.5000  0.0000
Ge  0.0000  0.0000  0.5000
Ge  0.0000  0.5000  0.8758
Ge  0.5000  0.5000  0.5000

## Properties
Calculated total energy   -51.48 eV for the cell shown